Material: Pm3Si2Ni6
Method: DFT, PBE-GGA
State: optimized geometry

a = 7.716 Å, b = 7.716 Å, c = 7.716 Å
α = 109.47°, β = 109.47°, γ = 109.47°
Fractional coordinates of all 22 atoms:
1 Pm 0.000 0.286 0.286
2 Pm 0.000 0.714 0.714
3 Pm 0.286 0.000 0.286
4 Pm 0.286 0.286 0.000
5 Pm 0.714 0.000 0.714
6 Pm 0.714 0.714 0.000
7 Si 0.000 0.000 0.500
8 Si 0.000 0.500 0.000
9 Si 0.500 0.000 0.000
10 Si 0.500 0.500 0.500
11 Ni 0.000 0.330 0.670
12 Ni 0.000 0.670 0.330
13 Ni 0.330 0.000 0.670
14 Ni 0.330 0.330 0.659
15 Ni 0.330 0.659 0.330
16 Ni 0.330 0.670 0.000
17 Ni 0.341 0.670 0.670
18 Ni 0.659 0.330 0.330
19 Ni 0.670 0.000 0.330
20 Ni 0.670 0.330 0.000
21 Ni 0.670 0.341 0.670
22 Ni 0.670 0.670 0.341

Raw formation energy: -0.565 eV per atom
V: 16.08 Å³/atom
Space-group type: Im-3m
Theoretical density: 7.92 g/cm³